Ta5Ru GGA-PBEsol optimized geometry; final energy = -0.9080 Ry/atom; DFT formation energy = -0.1994 eV/atom; energy above the most stable polymorph in this dataset = 0.000 eV/atom
1.0
-1.002 1.326 2.770
-3.995 0.459 -3.549
-0.369 -5.849 2.667
Ta Ru
5 1
Cartesian
-1.591 -1.597 0.189
-0.501 0.663 1.385
-1.784 -4.474 1.497
-3.775 -2.465 1.699
-3.582 0.411 0.391
-0.686 -2.261 2.719